[1]
DFT (PBE-GGA) results for K9Hg3O2 after structural relaxation.

Output
symmetry = No. 167
E = -56.26 eV for the cell shown

a b c (Å): 10.374 10.374 10.374
angles (deg): 82.64 82.64 82.64
Positions (direct):
K 0.564 0.408 0.241
K 0.759 0.436 0.592
K 0.250 0.393 0.107
K 0.750 0.607 0.893
K 0.107 0.250 0.393
K 0.259 0.092 0.936
K 0.436 0.592 0.759
K 0.893 0.750 0.607
K 0.592 0.759 0.436
K 0.607 0.893 0.750
K 0.936 0.259 0.092
K 0.741 0.908 0.064
K 0.393 0.107 0.250
K 0.241 0.564 0.408
K 0.408 0.241 0.564
K 0.064 0.741 0.908
K 0.092 0.936 0.259
K 0.908 0.064 0.741
Hg 0.909 0.591 0.250
Hg 0.091 0.409 0.750
Hg 0.591 0.250 0.909
Hg 0.250 0.909 0.591
Hg 0.750 0.091 0.409
Hg 0.409 0.750 0.091
O 0.159 0.159 0.159
O 0.841 0.841 0.841
O 0.659 0.659 0.659
O 0.341 0.341 0.341

[2]
DFT (PBE-GGA) results for K7Hg2O2 after structural relaxation.

Output
symmetry = No. 12
E = -24.89 eV for the cell shown

a b c (Å): 7.830 7.296 7.296
angles (deg): 66.02 89.87 89.87
Positions (direct):
Hg 0.000 0.823 0.177
Hg 0.000 0.177 0.823
K 0.699 0.500 0.500
K 0.301 0.500 0.500
K 0.709 0.000 0.500
K 0.291 0.000 0.500
K 0.500 0.000 0.000
K 0.709 0.500 0.000
K 0.291 0.500 0.000
O 0.500 0.679 0.679
O 0.500 0.321 0.321

[3]
DFT (PBE-GGA) results for K3HgO3 after structural relaxation.

Output
symmetry = No. 176
E = -48.96 eV for the cell shown

a b c (Å): 5.615 8.135 8.135
angles (deg): 120.00 90.00 90.00
Positions (direct):
O 0.250 0.389 0.091
O 0.250 0.909 0.298
O 0.750 0.611 0.909
O 0.750 0.091 0.702
O 0.750 0.298 0.389
O 0.250 0.702 0.611
K 0.750 0.350 0.082
K 0.250 0.268 0.350
K 0.750 0.918 0.268
K 0.750 0.732 0.650
K 0.250 0.082 0.732
K 0.250 0.650 0.918
Hg 0.750 0.333 0.667
Hg 0.250 0.667 0.333

[4]
DFT (PBE-GGA) results for KHg3O after structural relaxation.

Output
symmetry = No. 221
E = -4.09 eV for the cell shown

a b c (Å): 6.677 6.677 6.677
angles (deg): 90.00 90.00 90.00
Positions (direct):
Hg 0.000 0.500 0.000
Hg 0.500 0.000 0.000
Hg 0.000 0.000 0.500
O 0.500 0.500 0.500
K 0.000 0.000 0.000

[5]
DFT (PBE-GGA) results for K2HgO2 after structural relaxation.

Output
symmetry = No. 127
E = -31.30 eV for the cell shown

a b c (Å): 6.850 6.850 4.030
angles (deg): 90.00 90.00 90.00
Positions (direct):
O 0.817 0.683 0.000
O 0.317 0.817 0.000
O 0.183 0.317 0.000
O 0.683 0.183 0.000
K 0.358 0.142 0.500
K 0.142 0.642 0.500
K 0.858 0.358 0.500
K 0.642 0.858 0.500
Hg 0.000 0.000 0.000
Hg 0.500 0.500 0.000

[6]
DFT (PBE-GGA) results for K4Hg2O after structural relaxation.

Output
symmetry = No. 139
E = -13.55 eV for the cell shown

a b c (Å): 5.391 5.391 9.695
angles (deg): 106.14 106.14 90.00
Positions (direct):
Hg 0.651 0.651 0.302
Hg 0.349 0.349 0.698
K 0.000 0.500 0.000
K 0.147 0.147 0.295
K 0.500 0.000 0.000
K 0.853 0.853 0.705
O 0.000 0.000 0.000

[7]
DFT (PBE-GGA) results for K5Hg2O5 after structural relaxation.

Output
symmetry = No. 12
E = -41.06 eV for the cell shown

a b c (Å): 3.759 6.417 10.576
angles (deg): 104.71 90.00 107.03
Positions (direct):
K 0.345 0.689 0.945
K 0.655 0.311 0.055
K 0.500 0.000 0.500
K 0.756 0.512 0.359
K 0.244 0.488 0.641
O 0.888 0.776 0.607
O 0.647 0.295 0.798
O 0.112 0.224 0.393
O 0.353 0.705 0.202
O 0.000 0.000 0.000
Hg 0.023 0.046 0.787
Hg 0.977 0.954 0.213

[8]
DFT (PBE-GGA) results for KHgO2 after structural relaxation.

Output
symmetry = No. 166
E = -12.37 eV for the cell shown

a b c (Å): 7.280 7.280 7.280
angles (deg): 28.23 28.23 28.23
Positions (direct):
Hg 0.500 0.500 0.500
K 0.000 0.000 0.000
O 0.885 0.885 0.885
O 0.115 0.115 0.115

[9]
DFT (PBE-GGA) results for K3HgO after structural relaxation.

Output
symmetry = No. 4
E = -23.97 eV for the cell shown

a b c (Å): 4.387 10.403 6.936
angles (deg): 78.69 90.00 90.00
Positions (direct):
Hg 0.985 0.109 0.085
Hg 0.485 0.244 0.816
O 0.470 0.587 0.228
O 0.970 0.766 0.673
K 0.474 0.794 0.415
K 0.476 0.334 0.291
K 0.976 0.019 0.611
K 0.473 0.791 0.911
K 0.973 0.561 0.990
K 0.974 0.558 0.487

[10]
DFT (PBE-GGA) results for K7Hg3O2 after structural relaxation.

Output
symmetry = No. 65
E = -25.76 eV for the cell shown

a b c (Å): 5.410 5.406 14.111
angles (deg): 101.04 90.00 90.00
Positions (direct):
O 0.000 0.902 0.804
O 0.000 0.098 0.196
K 0.000 0.599 0.199
K 0.000 0.191 0.382
K 0.000 0.809 0.618
K 0.500 0.899 0.798
K 0.500 0.101 0.202
K 0.000 0.401 0.801
K 0.000 0.000 0.000
Hg 0.500 0.500 0.000
Hg 0.500 0.280 0.560
Hg 0.500 0.720 0.440

[11]
DFT (PBE-GGA) results for K3HgOs2O8 after structural relaxation.

Output
symmetry = No. 164
E = -82.23 eV for the cell shown

a b c (Å): 6.102 6.102 10.087
angles (deg): 90.00 90.00 120.00
Positions (direct):
O 0.650 0.825 0.220
O 0.333 0.667 0.979
O 0.667 0.333 0.021
O 0.825 0.175 0.780
O 0.175 0.350 0.220
O 0.825 0.650 0.780
O 0.350 0.175 0.780
O 0.175 0.825 0.220
Os 0.333 0.667 0.156
Os 0.667 0.333 0.844
K 0.667 0.333 0.277
K 0.000 0.000 0.000
K 0.333 0.667 0.723
Hg 0.000 0.000 0.500

[12]
DFT (PBE-GGA) results for K2HgOsO6 after structural relaxation.

Output
symmetry = No. 164
E = -52.59 eV for the cell shown

a b c (Å): 6.052 6.108 6.108
angles (deg): 120.00 90.00 90.00
Positions (direct):
O 0.815 0.144 0.856
O 0.185 0.856 0.713
O 0.815 0.144 0.287
O 0.185 0.856 0.144
O 0.185 0.287 0.144
O 0.815 0.713 0.856
K 0.143 0.333 0.667
K 0.857 0.667 0.333
Os 0.000 0.000 0.000
Hg 0.500 0.000 0.000

[13]
DFT (PBE-GGA) results for K3HgP2O8 after structural relaxation.

Output
symmetry = No. 164
E = -79.82 eV for the cell shown

a b c (Å): 5.756 5.756 7.724
angles (deg): 90.00 90.00 120.00
Positions (direct):
P 0.333 0.667 0.243
P 0.667 0.333 0.757
O 0.369 0.185 0.695
O 0.815 0.631 0.695
O 0.185 0.815 0.305
O 0.185 0.369 0.305
O 0.667 0.333 0.956
O 0.631 0.815 0.305
O 0.815 0.185 0.695
O 0.333 0.667 0.044
K 0.000 0.000 0.000
K 0.333 0.667 0.703
K 0.667 0.333 0.297
Hg 0.000 0.000 0.500

[14]
DFT (PBE-GGA) results for K2HgPO4 after structural relaxation.

Output
symmetry = No. 82
E = -41.41 eV for the cell shown

a b c (Å): 5.755 5.755 5.755
angles (deg): 103.76 112.40 112.40
Positions (direct):
O 0.715 0.481 0.486
O 0.995 0.514 0.229
O 0.005 0.234 0.519
O 0.285 0.771 0.766
K 0.500 0.750 0.250
K 0.000 0.000 0.000
P 0.000 0.500 0.500
Hg 0.500 0.250 0.750

[15]
DFT (PBE-GGA) results for KHg2PO4 after structural relaxation.

Output
symmetry = No. 23
E = -38.15 eV for the cell shown

a b c (Å): 5.825 5.704 5.704
angles (deg): 72.91 59.30 59.30
Positions (direct):
O 0.285 0.241 0.506
O 0.715 0.494 0.759
O 0.968 0.506 0.241
O 0.032 0.759 0.494
Hg 0.500 0.799 0.201
Hg 0.500 0.201 0.799
P 0.000 0.500 0.500
K 0.000 0.000 0.000

[16]
DFT (PBE-GGA) results for KHgPO4 after structural relaxation.

Output
symmetry = No. 216
E = -37.23 eV for the cell shown

a b c (Å): 6.073 6.073 6.073
angles (deg): 60.00 60.00 60.00
Positions (direct):
O 0.939 0.354 0.354
O 0.354 0.939 0.354
O 0.354 0.354 0.354
O 0.354 0.354 0.939
P 0.250 0.250 0.250
K 0.750 0.750 0.750
Hg 0.500 0.500 0.500

[17]
DFT (PBE-GGA) results for KHgP2O8 after structural relaxation.

Output
symmetry = No. 147
E = -68.77 eV for the cell shown

a b c (Å): 5.137 5.137 8.368
angles (deg): 90.00 90.00 120.00
Positions (direct):
O 0.944 0.631 0.325
O 0.687 0.056 0.325
O 0.631 0.687 0.675
O 0.056 0.369 0.675
O 0.313 0.944 0.675
O 0.667 0.333 0.086
O 0.369 0.313 0.325
O 0.333 0.667 0.914
K 0.000 0.000 0.000
Hg 0.000 0.000 0.500
P 0.333 0.667 0.729
P 0.667 0.333 0.271

[18]
DFT (PBE-GGA) results for KHg2P2O7 after structural relaxation.

Output
symmetry = No. 155
E = -66.30 eV for the cell shown

a b c (Å): 5.670 5.670 8.342
angles (deg): 70.13 70.13 60.00
Positions (direct):
P 0.931 0.931 0.208
P 0.069 0.069 0.792
K 0.500 0.500 0.500
Hg 0.713 0.713 0.862
Hg 0.287 0.287 0.138
O 0.080 0.832 0.735
O 0.168 0.920 0.265
O 0.352 0.080 0.735
O 0.000 0.000 0.000
O 0.920 0.648 0.265
O 0.648 0.168 0.265
O 0.832 0.352 0.735

[19]
DFT (PBE-GGA) results for K2PaHg2O6 after structural relaxation.

Output
symmetry = No. 12
E = -59.72 eV for the cell shown

a b c (Å): 6.127 6.474 6.870
angles (deg): 115.67 90.00 118.24
Positions (direct):
Pa 0.500 0.000 0.500
K 0.713 0.426 0.142
K 0.287 0.574 0.858
O 0.317 0.117 0.762
O 0.801 0.117 0.762
O 0.683 0.883 0.238
O 0.293 0.586 0.431
O 0.199 0.883 0.238
O 0.707 0.414 0.569
Hg 0.086 0.173 0.295
Hg 0.914 0.827 0.705

[20]
DFT (PBE-GGA) results for K3PaHg2O6 after structural relaxation.

Output
symmetry = No. 164
E = -62.75 eV for the cell shown

a b c (Å): 6.612 6.612 7.143
angles (deg): 90.00 90.00 120.00
Positions (direct):
K 0.000 0.000 0.000
K 0.667 0.333 0.286
K 0.333 0.667 0.714
O 0.852 0.148 0.691
O 0.704 0.852 0.309
O 0.148 0.852 0.309
O 0.148 0.296 0.309
O 0.852 0.704 0.691
O 0.296 0.148 0.691
Hg 0.333 0.667 0.262
Hg 0.667 0.333 0.738
Pa 0.000 0.000 0.500